1.
The following is a DFT calculation (GGA-PBE) of crystalline LiLaAgPd2 at its relaxed geometry.

abc: 5.3422 6.0365 6.0661
angles: 90.00 90.00 90.00
With the nearest neighbours (Å) after each atom.
Positions (direct):
Li 0.0000 0.0000 0.0000  4 Pd 2.59, 2 Ag 2.65, 2 Li 2.67
Li 0.5000 0.0000 0.0000  4 Pd 2.59, 2 Ag 2.65, 2 Li 2.67
La 0.2500 0.5000 0.2421  8 Pd 3.03-3.37, 2 Ag 3.13
La 0.7500 0.5000 0.7579  8 Pd 3.03-3.37, 2 Ag 3.13
Ag 0.2500 0.0000 0.3770  2 Li 2.65, 2 Pd 2.75
Ag 0.7500 0.0000 0.6230  2 Li 2.65, 2 Pd 2.75
Pd 0.2500 0.2642 0.7457  2 Li 2.59, 1 Ag 2.75, 1 Pd 2.85
Pd 0.2500 0.7358 0.7457  2 Li 2.59, 1 Ag 2.75, 1 Pd 2.85
Pd 0.7500 0.2642 0.2543  2 Li 2.59, 1 Ag 2.75, 1 Pd 2.85
Pd 0.7500 0.7358 0.2543  2 Li 2.59, 1 Ag 2.75, 1 Pd 2.85

Output
The magnetization comes out at 0.00 Bohr magnetons per cell. Its symmetry is Pmma, No. 51. As for the final energy: -4.498 eV per atom. For the formation energy, the calculation gives -2.4 eV per formula unit. For the calculated volume, the calculation gives 19.562 Å³/atom.

***

2.
The following is a DFT calculation (GGA-PBE) of crystalline RuW2Au at its relaxed geometry.

abc: 4.5062 4.5062 4.5062
angles: 60.00 60.00 60.00
With the nearest neighbours (Å) after each atom.
Positions (direct):
Ru 0.0000 0.0000 0.0000  8 W 2.76
W 0.2500 0.2500 0.2500  4 Ru 2.76, 4 Au 2.76
W 0.7500 0.7500 0.7500  4 Ru 2.76, 4 Au 2.76
Au 0.5000 0.5000 0.5000  8 W 2.76

Output
The magnetization comes out at 0.00 Bohr magnetons per cell. Its symmetry is Fm-3m, No. 225. As for the final energy: -8.909 eV per atom. For the formation energy, the calculation gives 2.8 eV per formula unit. For the calculated volume, the calculation gives 16.175 Å³/atom.

***

3.
The following is a DFT calculation (GGA-PBE) of crystalline Sr2TaV2 at its relaxed geometry.

abc: 7.4029 7.4029 7.4029
angles: 147.28 147.28 46.95
With the nearest neighbours (Å) after each atom.
Positions (direct):
Sr 0.2500 0.7500 0.5000  4 Sr 2.95, 4 V 3.22
Sr 0.7500 0.2500 0.5000  4 Sr 2.95, 4 V 3.22
Ta 0.0000 0.0000 0.0000  8 V 3.10
V 0.4304 0.4304 0.0000  1 V 1.89
V 0.5696 0.5696 0.0000  1 V 1.89

Output
The magnetization comes out at 0.00 Bohr magnetons per cell. Its symmetry is I4/mmm, No. 139. As for the final energy: -5.393 eV per atom. For the formation energy, the calculation gives 6.5 eV per formula unit. For the calculated volume, the calculation gives 23.617 Å³/atom.

***

4.
The following is a DFT calculation (GGA-PBE) of crystalline NaZn2H4 at its relaxed geometry.

abc: 4.5255 4.5255 8.1095
angles: 90.00 90.00 110.38
With the nearest neighbours (Å) after each atom.
Positions (direct):
Na 0.0000 0.0000 0.2500  8 H 2.33-2.41
Na 0.0000 0.0000 0.7500  8 H 2.33-2.41
Zn 0.3209 0.6716 0.0000  4 H 1.78-1.87
Zn 0.3284 0.6791 0.5000  4 H 1.78-1.87
Zn 0.6716 0.3209 0.5000  4 H 1.78-1.87
Zn 0.6791 0.3284 0.0000  4 H 1.78-1.87
H 0.0000 0.5000 0.1467  2 Zn 1.83
H 0.0000 0.5000 0.8533  2 Zn 1.83
H 0.0424 0.2648 0.5000  2 Zn 1.78-1.87
H 0.2648 0.0424 0.0000  2 Zn 1.78-1.87
H 0.5000 0.0000 0.3533  2 Zn 1.83
H 0.5000 0.0000 0.6467  2 Zn 1.83
H 0.7352 0.9576 0.0000  2 Zn 1.78-1.87
H 0.9576 0.7352 0.5000  2 Zn 1.78-1.87

Output
The magnetization comes out at 0.00 Bohr magnetons per cell. Its symmetry is Cccm, No. 66. As for the final energy: -2.337 eV per atom. For the calculated volume, the calculation gives 11.120 Å³/atom.

***

5.
The following is a DFT calculation (GGA-PBE) of crystalline Tm3CuPt2 at its relaxed geometry.

abc: 11.4537 4.0445 11.2574
angles: 90.00 90.00 90.00
With the nearest neighbours (Å) after each atom.
Positions (direct):
Tm 0.0451 0.2500 0.1274  5 Pt 2.92-2.97, 1 Cu 2.98
Tm 0.1270 0.7500 0.5683  4 Pt 2.85-3.08, 3 Cu 2.93-2.94
Tm 0.2122 0.2500 0.8172  3 Pt 2.84-2.92, 2 Cu 2.84
Tm 0.2878 0.7500 0.3172  3 Pt 2.84-2.92, 2 Cu 2.84
Tm 0.3730 0.2500 0.0683  4 Pt 2.85-3.08, 3 Cu 2.93-2.94
Tm 0.4549 0.7500 0.6274  5 Pt 2.92-2.97, 1 Cu 2.98
Tm 0.5451 0.2500 0.3726  5 Pt 2.92-2.97, 1 Cu 2.98
Tm 0.6270 0.7500 0.9317  4 Pt 2.85-3.08, 3 Cu 2.93-2.94
Tm 0.7122 0.2500 0.6828  3 Pt 2.84-2.92, 2 Cu 2.84
Tm 0.7878 0.7500 0.1828  3 Pt 2.84-2.92, 2 Cu 2.84
Tm 0.8730 0.2500 0.4317  4 Pt 2.85-3.08, 3 Cu 2.93-2.94
Tm 0.9549 0.7500 0.8726  5 Pt 2.92-2.97, 1 Cu 2.98
Cu 0.1245 0.2500 0.3799  3 Pt 2.59-2.61, 2 Tm 2.84
Cu 0.3755 0.7500 0.8799  3 Pt 2.59-2.61, 2 Tm 2.84
Cu 0.6245 0.2500 0.1201  3 Pt 2.59-2.61, 2 Tm 2.84
Cu 0.8755 0.7500 0.6201  3 Pt 2.59-2.61, 2 Tm 2.84
Pt 0.0018 0.7500 0.3097  2 Cu 2.59, 3 Tm 2.84-2.85
Pt 0.1813 0.7500 0.0014  1 Cu 2.61, 4 Tm 2.92
Pt 0.3187 0.2500 0.5014  1 Cu 2.61, 4 Tm 2.92
Pt 0.4982 0.2500 0.8097  2 Cu 2.59, 3 Tm 2.84-2.85
Pt 0.5018 0.7500 0.1903  2 Cu 2.59, 3 Tm 2.84-2.85
Pt 0.6813 0.7500 0.4986  1 Cu 2.61, 4 Tm 2.92
Pt 0.8187 0.2500 0.9986  1 Cu 2.61, 4 Tm 2.92
Pt 0.9982 0.2500 0.6903  2 Cu 2.59, 3 Tm 2.84-2.85

Output
The magnetization comes out at 0.00 Bohr magnetons per cell. Its symmetry is Pnma, No. 62. As for the final energy: -5.900 eV per atom. For the formation energy, the calculation gives -5.8 eV per formula unit. For the calculated volume, the calculation gives 21.729 Å³/atom.

***

6.
The following is a DFT calculation (GGA-PBE) of crystalline SrZr2Se at its relaxed geometry.

abc: 5.4060 5.4060 6.5431
angles: 102.28 102.28 37.16
With the nearest neighbours (Å) after each atom.
Positions (direct):
Sr 0.0000 0.0000 0.0000  3 Se 3.23-3.36, 2 Sr 3.44
Zr 0.1928 0.1928 0.5772  3 Zr 2.74-3.02, 2 Se 2.88
Zr 0.4439 0.4439 0.4968  3 Zr 2.74-3.02, 2 Se 2.82
Se 0.7509 0.7509 0.2567  4 Zr 2.82-2.88

Output
The magnetization comes out at 0.00 Bohr magnetons per cell. Its symmetry is Cm, No. 8. As for the final energy: -5.846 eV per atom. As for the formation energy (no corrections): -0.2806 eV/atom. For the calculated volume, the calculation gives 28.138 Å³/atom.

***

Q: Number 1 is which compound?
A: LiLaAgPd2